1.
VASP calculation (PBE) on V2CoBRu after structural relaxation.

```
data_V2CoBRu
_chemical_formula_sum 'V2 Co1 B1 Ru1'
_cell_length_a 4.434
_cell_length_b 4.458
_cell_length_c 4.434
_cell_angle_alpha 90.00
_cell_angle_beta 90.00
_cell_angle_gamma 90.00
_space_group_name_H-M_alt 'P 1'
_space_group_IT_number 1
_space_group_name_Hall 'P 1'
loop_
_atom_site_label
_atom_site_fract_x
_atom_site_fract_y
_atom_site_fract_z
_atom_site_occupancy
V1 0.000 0.000 0.500 1
V2 0.500 0.000 0.000 1
Co1 0.000 0.500 0.000 1
Ru1 0.000 0.000 0.000 1
B1 0.500 0.500 0.500 1
```

Calculated values
Crystal system: tetragonal
ΔH_f (0 K) (eV/atom): 1.89
Theoretical density (g/cm3): 5.17
Symmetry: P4/mmm, No. 123

***

2.
VASP calculation (PBE) on YCoB2Ru after structural relaxation.

```
data_YCoB2Ru
_chemical_formula_sum 'Y1 Co1 B2 Ru1'
_cell_length_a 3.760
_cell_length_b 3.760
_cell_length_c 5.416
_cell_angle_alpha 110.31
_cell_angle_beta 110.31
_cell_angle_gamma 90.00
_space_group_name_H-M_alt 'P 1'
_space_group_IT_number 1
_space_group_name_Hall 'P 1'
loop_
_atom_site_label
_atom_site_fract_x
_atom_site_fract_y
_atom_site_fract_z
_atom_site_occupancy
Ru1 0.750 0.250 0.500 1
B1 0.341 0.341 0.681 1
B2 0.659 0.659 0.319 1
Co1 0.250 0.750 0.500 1
Y1 0.000 0.000 0.000 1
```

Calculated values
Crystal system: tetragonal
ΔH_f (0 K) (eV/atom): -0.52
Theoretical density (g/cm3): 6.73
Symmetry: I-4m2, No. 119

***

3.
VASP calculation (PBE) on YCo2BRu after structural relaxation.

```
data_YCo2BRu
_chemical_formula_sum 'Y1 Co2 B1 Ru1'
_cell_length_a 4.015
_cell_length_b 4.015
_cell_length_c 4.171
_cell_angle_alpha 90.00
_cell_angle_beta 90.00
_cell_angle_gamma 90.00
_space_group_name_H-M_alt 'P 1'
_space_group_IT_number 1
_space_group_name_Hall 'P 1'
loop_
_atom_site_label
_atom_site_fract_x
_atom_site_fract_y
_atom_site_fract_z
_atom_site_occupancy
Co1 0.000 0.500 0.000 1
Co2 0.500 0.000 0.000 1
B1 0.000 0.000 0.000 1
Ru1 0.000 0.000 0.500 1
Y1 0.500 0.500 0.500 1
```

Calculated values
Crystal system: tetragonal
ΔH_f (0 K) (eV/atom): -0.29
Theoretical density (g/cm3): 7.87
Symmetry: P4/mmm, No. 123

***

4.
VASP calculation (PBE) on YCoBRu2 after structural relaxation.

```
data_YCoBRu2
_chemical_formula_sum 'Y1 Co1 B1 Ru2'
_cell_length_a 4.208
_cell_length_b 4.208
_cell_length_c 3.987
_cell_angle_alpha 90.00
_cell_angle_beta 90.00
_cell_angle_gamma 90.00
_space_group_name_H-M_alt 'P 1'
_space_group_IT_number 1
_space_group_name_Hall 'P 1'
loop_
_atom_site_label
_atom_site_fract_x
_atom_site_fract_y
_atom_site_fract_z
_atom_site_occupancy
Y1 0.500 0.500 0.500 1
B1 0.000 0.000 0.000 1
Ru1 0.000 0.500 0.000 1
Ru2 0.500 0.000 0.000 1
Co1 0.000 0.000 0.500 1
```

Calculated values
Crystal system: tetragonal
ΔH_f (0 K) (eV/atom): -0.29
Theoretical density (g/cm3): 8.48
Symmetry: P4/mmm, No. 123

***

5.
VASP calculation (PBE) on Y2Co3B12Ru after structural relaxation.

```
data_Y2Co3B12Ru
_chemical_formula_sum 'Y2 Co3 B12 Ru1'
_cell_length_a 8.337
_cell_length_b 8.337
_cell_length_c 8.337
_cell_angle_alpha 37.19
_cell_angle_beta 37.19
_cell_angle_gamma 37.19
_space_group_name_H-M_alt 'P 1'
_space_group_IT_number 1
_space_group_name_Hall 'P 1'
loop_
_atom_site_label
_atom_site_fract_x
_atom_site_fract_y
_atom_site_fract_z
_atom_site_occupancy
B1 0.657 0.977 0.657 1
B2 0.322 0.957 0.957 1
B3 0.657 0.657 0.977 1
B4 0.343 0.343 0.023 1
B5 0.023 0.343 0.343 1
B6 0.678 0.043 0.043 1
B7 0.043 0.678 0.043 1
B8 0.957 0.957 0.322 1
B9 0.043 0.043 0.678 1
B10 0.957 0.322 0.957 1
B11 0.977 0.657 0.657 1
B12 0.343 0.023 0.343 1
Co1 0.000 0.500 0.000 1
Co2 0.500 0.000 0.000 1
Co3 0.000 0.000 0.500 1
Ru1 0.000 0.000 0.000 1
Y1 0.637 0.637 0.637 1
Y2 0.363 0.363 0.363 1
```

Calculated values
Crystal system: trigonal
ΔH_f (0 K) (eV/atom): 0.03
Theoretical density (g/cm3): 5.12
Symmetry: R-3m, No. 166

***

6.
VASP calculation (PBE) on Zr2CoB2Ru5 after structural relaxation.

```
data_Zr2CoB2Ru5
_chemical_formula_sum 'Zr4 Co2 B4 Ru10'
_cell_length_a 3.067
_cell_length_b 9.348
_cell_length_c 9.348
_cell_angle_alpha 90.00
_cell_angle_beta 90.00
_cell_angle_gamma 90.00
_space_group_name_H-M_alt 'P 1'
_space_group_IT_number 1
_space_group_name_Hall 'P 1'
loop_
_atom_site_label
_atom_site_fract_x
_atom_site_fract_y
_atom_site_fract_z
_atom_site_occupancy
Co1 0.000 0.000 0.000 1
Co2 0.000 0.500 0.500 1
B1 0.000 0.376 0.124 1
B2 0.000 0.624 0.876 1
B3 0.000 0.124 0.624 1
B4 0.000 0.876 0.376 1
Ru1 0.500 0.500 0.000 1
Ru2 0.500 0.071 0.786 1
Ru3 0.500 0.000 0.500 1
Ru4 0.500 0.786 0.929 1
Ru5 0.500 0.571 0.714 1
Ru6 0.500 0.929 0.214 1
Ru7 0.500 0.214 0.071 1
Ru8 0.500 0.429 0.286 1
Ru9 0.500 0.286 0.571 1
Ru10 0.500 0.714 0.429 1
Zr1 0.000 0.324 0.824 1
Zr2 0.000 0.176 0.324 1
Zr3 0.000 0.676 0.176 1
Zr4 0.000 0.824 0.676 1
```

Calculated values
Crystal system: tetragonal
ΔH_f (0 K) (eV/atom): -0.45
Theoretical density (g/cm3): 9.52
Symmetry: P4/mbm, No. 127

***

7.
VASP calculation (PBE) on Co2BS after structural relaxation.

```
data_Co2BS
_chemical_formula_sum 'Co4 B2 S2'
_cell_length_a 4.554
_cell_length_b 4.554
_cell_length_c 5.843
_cell_angle_alpha 67.06
_cell_angle_beta 67.06
_cell_angle_gamma 90.00
_space_group_name_H-M_alt 'P 1'
_space_group_IT_number 1
_space_group_name_Hall 'P 1'
loop_
_atom_site_label
_atom_site_fract_x
_atom_site_fract_y
_atom_site_fract_z
_atom_site_occupancy
Co1 0.581 0.125 0.250 1
Co2 0.375 0.419 0.750 1
Co3 0.875 0.831 0.750 1
Co4 0.169 0.625 0.250 1
B1 0.500 0.500 0.000 1
B2 0.250 0.750 0.500 1
S1 0.750 0.250 0.500 1
S2 0.000 0.000 0.000 1
```

Calculated values
Crystal system: tetragonal
Theoretical density (g/cm3): 5.28
E_form (uncorrected) (eV per atom): 0.097
Symmetry: I-42d, No. 122
ΔE to the lowest computed polymorph (eV/atom): 0.000

***

8.
VASP calculation (PBE) on CoBS2 after structural relaxation.

```
data_CoBS2
_chemical_formula_sum 'Co1 B1 S2'
_cell_length_a 6.837
_cell_length_b 6.837
_cell_length_c 6.837
_cell_angle_alpha 25.46
_cell_angle_beta 25.46
_cell_angle_gamma 25.46
_space_group_name_H-M_alt 'P 1'
_space_group_IT_number 1
_space_group_name_Hall 'P 1'
loop_
_atom_site_label
_atom_site_fract_x
_atom_site_fract_y
_atom_site_fract_z
_atom_site_occupancy
S1 0.107 0.107 0.107 1
S2 0.893 0.893 0.893 1
B1 0.500 0.500 0.500 1
Co1 0.000 0.000 0.000 1
```

Calculated values
Crystal system: trigonal
Theoretical density (g/cm3): 4.27
E_form (uncorrected) (eV per atom): 0.369
Symmetry: R-3m, No. 166

***

9.
VASP calculation (PBE) on Co2BS after structural relaxation.

```
data_Co2BS
_chemical_formula_sum 'Co2 B1 S1'
_cell_length_a 3.814
_cell_length_b 3.814
_cell_length_c 3.814
_cell_angle_alpha 60.00
_cell_angle_beta 60.00
_cell_angle_gamma 60.00
_space_group_name_H-M_alt 'P 1'
_space_group_IT_number 1
_space_group_name_Hall 'P 1'
loop_
_atom_site_label
_atom_site_fract_x
_atom_site_fract_y
_atom_site_fract_z
_atom_site_occupancy
Co1 0.750 0.750 0.750 1
Co2 0.250 0.250 0.250 1
S1 0.500 0.500 0.500 1
B1 0.000 0.000 0.000 1
```

Calculated values
Crystal system: cubic
Theoretical density (g/cm3): 6.80
E_form (uncorrected) (eV per atom): 0.382
Symmetry: Fm-3m, No. 225
ΔE to the lowest computed polymorph (eV/atom): 0.285

***

10.
VASP calculation (PBE) on CoBS2 after structural relaxation.

```
data_CoBS2
_chemical_formula_sum 'Co1 B1 S2'
_cell_length_a 6.100
_cell_length_b 6.100
_cell_length_c 6.100
_cell_angle_alpha 32.87
_cell_angle_beta 32.87
_cell_angle_gamma 32.87
_space_group_name_H-M_alt 'P 1'
_space_group_IT_number 1
_space_group_name_Hall 'P 1'
loop_
_atom_site_label
_atom_site_fract_x
_atom_site_fract_y
_atom_site_fract_z
_atom_site_occupancy
S1 0.099 0.099 0.099 1
S2 0.901 0.901 0.901 1
Co1 0.500 0.500 0.500 1
B1 0.000 0.000 0.000 1
```

Calculated values
Crystal system: trigonal
Theoretical density (g/cm3): 3.74
E_form (uncorrected) (eV per atom): 0.118
Symmetry: R-3m, No. 166

***

11.
VASP calculation (PBE) on CoBS4 after structural relaxation.

```
data_CoBS4
_chemical_formula_sum 'Co2 B2 S8'
_cell_length_a 3.289
_cell_length_b 5.560
_cell_length_c 9.589
_cell_angle_alpha 86.64
_cell_angle_beta 90.00
_cell_angle_gamma 90.00
_space_group_name_H-M_alt 'P 1'
_space_group_IT_number 1
_space_group_name_Hall 'P 1'
loop_
_atom_site_label
_atom_site_fract_x
_atom_site_fract_y
_atom_site_fract_z
_atom_site_occupancy
S1 0.500 0.797 0.610 1
S2 0.000 0.297 0.110 1
S3 0.000 0.703 0.890 1
S4 0.499 0.820 0.125 1
S5 0.500 0.203 0.390 1
S6 0.001 0.320 0.625 1
S7 0.501 0.180 0.875 1
S8 0.999 0.680 0.375 1
B1 0.500 0.500 0.500 1
B2 0.000 0.000 0.000 1
Co1 0.500 0.500 0.000 1
Co2 0.000 0.000 0.500 1
```

Calculated values
Crystal system: monoclinic
Theoretical density (g/cm3): 3.76
E_form (uncorrected) (eV per atom): 0.061
Symmetry: C2/m, No. 12

***

12.
VASP calculation (PBE) on CoB2S after structural relaxation.

```
data_CoB2S
_chemical_formula_sum 'Co2 B4 S2'
_cell_length_a 4.655
_cell_length_b 4.655
_cell_length_c 5.264
_cell_angle_alpha 63.76
_cell_angle_beta 63.76
_cell_angle_gamma 90.00
_space_group_name_H-M_alt 'P 1'
_space_group_IT_number 1
_space_group_name_Hall 'P 1'
loop_
_atom_site_label
_atom_site_fract_x
_atom_site_fract_y
_atom_site_fract_z
_atom_site_occupancy
S1 0.250 0.750 0.500 1
S2 0.500 0.500 0.000 1
B1 0.619 0.125 0.250 1
B2 0.875 0.869 0.750 1
B3 0.131 0.625 0.250 1
B4 0.375 0.381 0.750 1
Co1 0.750 0.250 0.500 1
Co2 0.000 0.000 0.000 1
```

Calculated values
Crystal system: tetragonal
Theoretical density (g/cm3): 4.20
E_form (uncorrected) (eV per atom): 0.410
Symmetry: I-42d, No. 122